CdFePt4, optimized geometry, DFT PBE; space group = P4/mmm (123); spin magnetization = 3.70 μB per formula unit; distance to the lowest polymorph of the same formula = 0.000 eV per atom; formation enthalpy at 0 K = -21 kJ per mole of atoms; Fermi-level density of states = 3.0 states/eV/f.u.
1.0
-1.322 2.427 0.485
-2.390 -1.395 0.468
2.748 -0.820 11.588
Cd Pt Fe
1 4 1
direct
0.000 0.000 0.000
0.500 0.500 0.822
0.000 0.000 0.650
0.500 0.500 0.178
0.000 0.000 0.350
0.500 0.500 0.500